1.
The following is a DFT calculation (GGA-PBE) of a relaxed structure of GeSe2Br.

Results
- VASP energy (Ry per atom) = -0.2172
- calculated volume (Å³/atom) = 25.44
- ΔE to the lowest computed polymorph (meV per atom) = 443
- mass density (g/cm³) = 5.07

```
data_GeSe2Br
_cell_length_a 2.9428
_cell_length_b 2.9428
_cell_length_c 40.7040
_cell_angle_alpha 90.00
_cell_angle_beta 90.00
_cell_angle_gamma 120.00
_symmetry_space_group_name_H-M 'R -3 m'
_symmetry_Int_Tables_number 166
_symmetry_space_group_name_Hall '-R 3 2"'
loop_
_atom_site_label
_atom_site_fract_x
_atom_site_fract_y
_atom_site_fract_z
Ge1 0.0000 0.0000 0.0000
Se1 0.0000 0.0000 0.0671
Br1 0.0000 0.0000 0.5000
```


2.
The following is a DFT calculation (GGA-PBE) of a relaxed structure of Ge2Se4Br3.

Results
- VASP energy (Ry per atom) = -0.2413
- calculated volume (Å³/atom) = 32.66
- mass density (g/cm³) = 3.96

```
data_Ge2Se4Br3
_cell_length_a 12.7380
_cell_length_b 11.3339
_cell_length_c 8.1690
_cell_angle_alpha 90.00
_cell_angle_beta 94.49
_cell_angle_gamma 90.00
_symmetry_space_group_name_H-M 'C 1 2/c 1'
_symmetry_Int_Tables_number 15
loop_
_symmetry_equiv_pos_as_xyz
'x,y,z'
'-x,-y,-z'
'-x,y,-z+1/2'
'x,-y,z+1/2'
'x+1/2,y+1/2,z'
'-x+1/2,-y+1/2,-z'
'-x+1/2,y+1/2,-z+1/2'
'x+1/2,-y+1/2,z+1/2'
loop_
_atom_site_label
_atom_site_fract_x
_atom_site_fract_y
_atom_site_fract_z
Ge1 0.2170 0.1192 0.4649
Se1 0.1124 0.2968 0.4690
Se2 0.1833 0.0549 0.1495
Br1 0.0000 0.0453 0.7500
Br2 0.1446 0.3796 0.9311
```


3.
The following is a DFT calculation (GGA-PBE) of a relaxed structure of GeSe4Br.

Results
- VASP energy (Ry per atom) = -0.2550
- calculated volume (Å³/atom) = 41.90
- mass density (g/cm³) = 3.09

```
data_GeSe4Br
_cell_length_a 10.5794
_cell_length_b 9.5194
_cell_length_c 10.8767
_cell_angle_alpha 90.00
_cell_angle_beta 113.35
_cell_angle_gamma 90.00
_symmetry_space_group_name_H-M 'C 1 2/m 1'
_symmetry_Int_Tables_number 12
loop_
_symmetry_equiv_pos_as_xyz
'x,y,z'
'-x,-y,-z'
'-x,y,-z'
'x,-y,z'
'x+1/2,y+1/2,z'
'-x+1/2,-y+1/2,-z'
'-x+1/2,y+1/2,-z'
'x+1/2,-y+1/2,z'
loop_
_atom_site_label
_atom_site_fract_x
_atom_site_fract_y
_atom_site_fract_z
Ge1 0.0977 0.0000 0.2034
Se1 0.0000 0.1209 0.5000
Se2 0.1017 0.0000 0.7434
Se3 0.1133 0.2081 0.0841
Br1 0.1894 0.5000 0.6125
```


4.
The following is a DFT calculation (GGA-PBE) of a relaxed structure of GeSe2Br.

Results
- VASP energy (Ry per atom) = -0.2497
- calculated volume (Å³/atom) = 35.34
- ΔE to the lowest computed polymorph (meV per atom) = 0
- mass density (g/cm³) = 3.65

```
data_GeSe2Br
_cell_length_a 4.8353
_cell_length_b 5.2377
_cell_length_c 11.1620
_cell_angle_alpha 90.02
_cell_angle_beta 90.05
_cell_angle_gamma 90.08
_symmetry_space_group_name_H-M 'P 1'
_symmetry_Int_Tables_number 1
loop_
_symmetry_equiv_pos_as_xyz
'x,y,z'
loop_
_atom_site_label
_atom_site_fract_x
_atom_site_fract_y
_atom_site_fract_z
Ge1 0.0000 0.0000 0.0000
Ge2 0.4994 0.5001 0.1498
Se1 0.0001 0.3148 0.8423
Se2 0.5002 0.8176 0.9846
Se3 0.5016 0.8150 0.3075
Se4 0.9991 0.3175 0.1652
Br1 0.0058 0.0364 0.6764
Br2 0.4956 0.5369 0.4734
```


5.
The following is a DFT calculation (GGA-PBE) of a relaxed structure of GeSe3Br.

Results
- VASP energy (Ry per atom) = -0.2574
- calculated volume (Å³/atom) = 36.07
- ΔE to the lowest computed polymorph (meV per atom) = 0
- mass density (g/cm³) = 3.59

```
data_GeSe3Br
_cell_length_a 6.8035
_cell_length_b 7.1375
_cell_length_c 7.8223
_cell_angle_alpha 87.16
_cell_angle_beta 76.25
_cell_angle_gamma 77.83
_symmetry_space_group_name_H-M 'P 1'
_symmetry_Int_Tables_number 1
loop_
_symmetry_equiv_pos_as_xyz
'x,y,z'
loop_
_atom_site_label
_atom_site_fract_x
_atom_site_fract_y
_atom_site_fract_z
Ge1 0.0000 0.0000 0.0000
Ge2 0.4299 0.6040 0.1109
Se1 0.2237 0.3434 0.1086
Se2 0.3344 0.7445 0.8259
Se3 0.5744 0.9505 0.7863
Se4 0.6467 0.3503 0.2539
Se5 0.7860 0.7395 0.9582
Se6 0.9009 0.5197 0.2719
Br1 0.2260 0.8154 0.3469
Br2 0.9469 0.1788 0.7319
```


6.
The following is a DFT calculation (GGA-PBE) of a relaxed structure of GeSe2Br.

Results
- VASP energy (Ry per atom) = -0.2075
- calculated volume (Å³/atom) = 21.82
- ΔE to the lowest computed polymorph (meV per atom) = 574
- mass density (g/cm³) = 5.91

```
data_GeSe2Br
_cell_length_a 7.0416
_cell_length_b 7.0416
_cell_length_c 7.0416
_cell_angle_alpha 90.00
_cell_angle_beta 90.00
_cell_angle_gamma 90.00
_symmetry_space_group_name_H-M 'F m -3 m'
_symmetry_Int_Tables_number 225
_symmetry_space_group_name_Hall '-F 4 2 3'
loop_
_atom_site_label
_atom_site_fract_x
_atom_site_fract_y
_atom_site_fract_z
Ge1 0.0000 0.0000 0.0000
Se1 0.2500 0.2500 0.2500
Br1 0.0000 0.0000 0.5000
```


7.
The following is a DFT calculation (GGA-PBE) of a relaxed structure of GeSe3Br.

Results
- VASP energy (Ry per atom) = -0.2073
- calculated volume (Å³/atom) = 25.81
- ΔE to the lowest computed polymorph (meV per atom) = 682
- mass density (g/cm³) = 5.01

```
data_GeSe3Br
_cell_length_a 5.0533
_cell_length_b 5.0533
_cell_length_c 5.0533
_cell_angle_alpha 90.00
_cell_angle_beta 90.00
_cell_angle_gamma 90.00
_symmetry_space_group_name_H-M 'P m -3 m'
_symmetry_Int_Tables_number 221
_symmetry_space_group_name_Hall '-P 4 2 3'
loop_
_atom_site_label
_atom_site_fract_x
_atom_site_fract_y
_atom_site_fract_z
Ge1 0.0000 0.0000 0.0000
Se1 0.0000 0.0000 0.5000
Br1 0.5000 0.5000 0.5000
```


8.
The following is a DFT calculation (GGA-PBE) of a relaxed structure of Ge5Se12Br3.

Results
- VASP energy (Ry per atom) = -0.2487
- calculated volume (Å³/atom) = 29.64
- mass density (g/cm³) = 4.34

```
data_Ge5Se12Br3
_cell_length_a 16.8018
_cell_length_b 16.8018
_cell_length_c 16.8018
_cell_angle_alpha 90.00
_cell_angle_beta 90.00
_cell_angle_gamma 90.00
_symmetry_space_group_name_H-M 'I a -3 d'
_symmetry_Int_Tables_number 230
_symmetry_space_group_name_Hall '-I 4bd 2c 3'
loop_
_atom_site_label
_atom_site_fract_x
_atom_site_fract_y
_atom_site_fract_z
Ge1 0.0000 0.0000 0.0000
Ge2 0.0000 0.2500 0.3750
Se1 0.0670 0.0807 0.6365
Br1 0.0000 0.2500 0.1250
```